A relaxed BaZrBr2 crystal, computed with PBE.

density of states at the Fermi level = 0.600 states/eV per atom
energy above the lowest structure with this stoichiometry = 0.032 eV/atom
formation energy from raw total energies = -0.778 eV per atom
crystal system = orthorhombic
VASP energy = -16.9 eV per cell

```
data_BaZrBr2
_chemical_formula_sum 'Ba1 Zr1 Br2'
_space_group_name_H-M_alt 'P m m m'
_space_group_IT_number 47
_cell_length_a 3.753
_cell_length_b 4.652
_cell_length_c 6.833
_cell_angle_alpha 90.00
_cell_angle_beta 90.00
_cell_angle_gamma 90.00
loop_
_space_group_symop_operation_xyz
'x,y,z'
'-x,-y,-z'
'-x,-y,z'
'x,y,-z'
'x,-y,-z'
'-x,y,z'
'-x,y,-z'
'x,-y,z'
loop_
_atom_site_label
_atom_site_type_symbol
_atom_site_fract_x
_atom_site_fract_y
_atom_site_fract_z
Ba1 Ba 0.000 0.000 0.000
Zr1 Zr 0.500 0.000 0.500
Br1 Br 0.500 0.500 0.257
```